[1]
# PBE Sr2ScTa, relaxed
# - ΔE_f (eV per atom) = 0.73
# - calculated volume (A^3/atom) = 32.9
# - calculated total energy (eV for the cell shown) = -37.24
# - N(E_F) (states/eV/cell) = 6.6
# - ΔE to the lowest computed polymorph (eV per atom) = 0.197
# - M_tot (Bohr magnetons per cell) = 4.4
data_Sr2ScTa
_cell_length_a 3.630
_cell_length_b 6.123
_cell_length_c 11.856
_cell_angle_alpha 90.00
_cell_angle_beta 90.00
_cell_angle_gamma 90.00
_space_group_name_H-M_alt 'I m m 2'
_space_group_IT_number 44
loop_
_space_group_symop_operation_xyz
'x,y,z'
'-x,-y,z'
'-x,y,z'
'x,-y,z'
'x+1/2,y+1/2,z+1/2'
'-x+1/2,-y+1/2,z+1/2'
'-x+1/2,y+1/2,z+1/2'
'x+1/2,-y+1/2,z+1/2'
loop_
_atom_site_label
_atom_site_type_symbol
_atom_site_fract_x
_atom_site_fract_y
_atom_site_fract_z
Sr1 Sr 0.000 0.000 0.000
Sr2 Sr 0.000 0.500 0.205
Sc1 Sc 0.000 0.000 0.421
Ta1 Ta 0.000 0.500 0.744

[2]
# PBE Cs2Mg2Sn, relaxed
# - ΔE_f (eV per atom) = 0.42
# - calculated volume (A^3/atom) = 45.6
# - calculated total energy (eV for the cell shown) = -13.62
# - N(E_F) (states/eV/cell) = 6.8
# - ΔE to the lowest computed polymorph (eV per atom) = 0.196
# - M_tot (Bohr magnetons per cell) = 0.0
data_Cs2Mg2Sn
_cell_length_a 11.347
_cell_length_b 11.347
_cell_length_c 3.540
_cell_angle_alpha 90.00
_cell_angle_beta 90.00
_cell_angle_gamma 90.00
_space_group_name_H-M_alt 'P 4/m b m'
_space_group_IT_number 127
_space_group_name_Hall '-P 4 2ab'
loop_
_atom_site_label
_atom_site_type_symbol
_atom_site_fract_x
_atom_site_fract_y
_atom_site_fract_z
Cs1 Cs 0.194 0.306 0.000
Mg1 Mg 0.097 0.597 0.500
Sn1 Sn 0.000 0.000 0.000

[3]
# PBE SrLiAcAu, relaxed
# - ΔE_f (eV per atom) = -0.40
# - calculated volume (A^3/atom) = 32.4
# - calculated total energy (eV for the cell shown) = -25.18
# - N(E_F) (states/eV/cell) = 6.7
# - ΔE to the lowest computed polymorph (eV per atom) = 0.000
# - M_tot (Bohr magnetons per cell) = 0.0
data_SrLiAcAu
_cell_length_a 4.463
_cell_length_b 4.392
_cell_length_c 13.227
_cell_angle_alpha 90.00
_cell_angle_beta 90.00
_cell_angle_gamma 90.00
_space_group_name_H-M_alt 'A m m 2'
_space_group_IT_number 38
loop_
_space_group_symop_operation_xyz
'x,y,z'
'-x,-y,z'
'-x,y,z'
'x,-y,z'
'x,y+1/2,z+1/2'
'-x,-y+1/2,z+1/2'
'-x,y+1/2,z+1/2'
'x,-y+1/2,z+1/2'
loop_
_atom_site_label
_atom_site_type_symbol
_atom_site_fract_x
_atom_site_fract_y
_atom_site_fract_z
Sr1 Sr 0.000 0.000 0.000
Li1 Li 0.500 0.000 0.585
Ac1 Ac 0.500 0.000 0.283
Au1 Au 0.000 0.000 0.707

[4]
# PBE CaLaBeN2, relaxed
# - formation energy (no corrections) (eV/atom) = -0.77
# - calculated volume (A^3/atom) = 15.9
# - calculated total energy (eV for the cell shown) = -62.29
# - N(E_F) (states/eV/cell) = 3.8
# - M_tot (Bohr magnetons per cell) = 0.0
data_CaLaBeN2
_cell_length_a 5.785
_cell_length_b 4.211
_cell_length_c 6.757
_cell_angle_alpha 90.00
_cell_angle_beta 104.90
_cell_angle_gamma 90.00
_space_group_name_H-M_alt 'P 1 2/c 1'
_space_group_IT_number 13
loop_
_space_group_symop_operation_xyz
'x,y,z'
'-x,-y,-z'
'-x,y,-z+1/2'
'x,-y,z+1/2'
loop_
_atom_site_label
_atom_site_type_symbol
_atom_site_fract_x
_atom_site_fract_y
_atom_site_fract_z
Ca1 Ca 0.000 0.044 0.250
La1 La 0.500 0.307 0.750
Be1 Be 0.000 0.500 0.000
N1 N 0.229 0.294 0.018

[5]
# PBE ErIn2Ag9, relaxed
# - ΔE_f (eV per atom) = -0.02
# - calculated volume (A^3/atom) = 20.6
# - calculated total energy (eV for the cell shown) = -107.99
# - N(E_F) (states/eV/cell) = 18.3
# - M_tot (Bohr magnetons per cell) = 0.0
data_ErIn2Ag9
_cell_length_a 5.5784
_cell_length_b 5.5784
_cell_length_c 27.5042
_cell_angle_alpha 90.00
_cell_angle_beta 90.00
_cell_angle_gamma 120.00
_space_group_name_H-M_alt 'R -3 m'
_space_group_IT_number 166
_space_group_name_Hall '-R 3 2"'
loop_
_atom_site_label
_atom_site_type_symbol
_atom_site_fract_x
_atom_site_fract_y
_atom_site_fract_z
Er1 Er 0.0000 0.0000 0.0000
In1 In 0.0000 0.0000 0.1407
Ag1 Ag 0.0000 0.0000 0.3336
Ag2 Ag 0.0000 0.0000 0.5000
Ag3 Ag 0.0036 0.5018 0.9153

[6]
# PBE FeSnMo2C, relaxed
# - ΔE_f (eV per atom) = 0.11
# - calculated volume (A^3/atom) = 14.0
# - calculated total energy (eV for the cell shown) = -42.79
# - N(E_F) (states/eV/cell) = 4.1
# - M_tot (Bohr magnetons per cell) = 1.7
data_FeSnMo2C
_cell_length_a 4.236
_cell_length_b 4.236
_cell_length_c 3.907
_cell_angle_alpha 90.00
_cell_angle_beta 90.00
_cell_angle_gamma 90.00
_space_group_name_H-M_alt 'P 4/m m m'
_space_group_IT_number 123
_space_group_name_Hall '-P 4 2'
loop_
_atom_site_label
_atom_site_type_symbol
_atom_site_fract_x
_atom_site_fract_y
_atom_site_fract_z
Fe1 Fe 0.000 0.000 0.000
Sn1 Sn 0.500 0.500 0.000
Mo1 Mo 0.000 0.500 0.500
C1 C 0.000 0.000 0.500

[7]
# PBE BeTlAgPb2, relaxed
# - ΔE_f (eV per atom) = 0.86
# - calculated volume (A^3/atom) = 33.1
# - calculated total energy (eV for the cell shown) = -12.05
# - N(E_F) (states/eV/cell) = 3.0
# - M_tot (Bohr magnetons per cell) = 0.0
data_BeTlAgPb2
_cell_length_a 5.532
_cell_length_b 5.532
_cell_length_c 5.407
_cell_angle_alpha 90.00
_cell_angle_beta 90.00
_cell_angle_gamma 90.00
_space_group_name_H-M_alt 'P 4/m m m'
_space_group_IT_number 123
_space_group_name_Hall '-P 4 2'
loop_
_atom_site_label
_atom_site_type_symbol
_atom_site_fract_x
_atom_site_fract_y
_atom_site_fract_z
Be1 Be 0.000 0.000 0.000
Tl1 Tl 0.500 0.500 0.000
Ag1 Ag 0.500 0.500 0.500
Pb1 Pb 0.000 0.500 0.500

[8]
# PBE La2Tb3ErAs6, relaxed
# - ΔE_f (eV per atom) = -1.53
# - calculated volume (A^3/atom) = 26.4
# - calculated total energy (eV for the cell shown) = -149.15
# - N(E_F) (states/eV/cell) = 3.4
# - M_tot (Bohr magnetons per cell) = 0.0
data_La2Tb3ErAs6
_cell_length_a 18.352
_cell_length_b 4.214
_cell_length_c 8.425
_cell_angle_alpha 90.00
_cell_angle_beta 103.31
_cell_angle_gamma 90.00
_space_group_name_H-M_alt 'C 1 2/m 1'
_space_group_IT_number 12
loop_
_space_group_symop_operation_xyz
'x,y,z'
'-x,-y,-z'
'-x,y,-z'
'x,-y,z'
'x+1/2,y+1/2,z'
'-x+1/2,-y+1/2,-z'
'-x+1/2,y+1/2,-z'
'x+1/2,-y+1/2,z'
loop_
_atom_site_label
_atom_site_type_symbol
_atom_site_fract_x
_atom_site_fract_y
_atom_site_fract_z
La1 La 0.165 0.000 0.331
Tb1 Tb 0.000 0.500 0.500
Tb2 Tb 0.167 0.000 0.834
Er1 Er 0.000 0.500 0.000
As1 As 0.003 0.000 0.755
As2 As 0.164 0.500 0.590
As3 As 0.165 0.500 0.074

[9]
# PBE BeAgCl2, relaxed
# - formation energy (no corrections) (eV/atom) = -0.44
# - calculated volume (A^3/atom) = 25.9
# - calculated total energy (eV for the cell shown) = -24.09
# - N(E_F) (states/eV/cell) = 1.3
# - ΔE to the lowest computed polymorph (eV per atom) = 0.199
# - M_tot (Bohr magnetons per cell) = 0.0
data_BeAgCl2
_cell_length_a 11.559
_cell_length_b 3.003
_cell_length_c 7.088
_cell_angle_alpha 90.00
_cell_angle_beta 122.60
_cell_angle_gamma 90.00
_space_group_name_H-M_alt 'C 1 m 1'
_space_group_IT_number 8
loop_
_space_group_symop_operation_xyz
'x,y,z'
'x,-y,z'
'x+1/2,y+1/2,z'
'x+1/2,-y+1/2,z'
loop_
_atom_site_label
_atom_site_type_symbol
_atom_site_fract_x
_atom_site_fract_y
_atom_site_fract_z
Be1 Be 0.000 0.000 0.000
Ag1 Ag 0.261 0.000 0.832
Cl1 Cl 0.014 0.500 0.787
Cl2 Cl 0.063 0.500 0.247

[10]
# PBE CaThPdRu, relaxed
# - ΔE_f (eV per atom) = -0.41
# - calculated volume (A^3/atom) = 21.8
# - calculated total energy (eV for the cell shown) = -102.18
# - N(E_F) (states/eV/cell) = 12.2
# - M_tot (Bohr magnetons per cell) = 0.0
data_CaThPdRu
_cell_length_a 7.039
_cell_length_b 7.039
_cell_length_c 7.039
_cell_angle_alpha 90.00
_cell_angle_beta 90.00
_cell_angle_gamma 90.00
_space_group_name_H-M_alt 'F -4 3 m'
_space_group_IT_number 216
_space_group_name_Hall 'F -4 2 3'
loop_
_atom_site_label
_atom_site_type_symbol
_atom_site_fract_x
_atom_site_fract_y
_atom_site_fract_z
Ca1 Ca 0.000 0.000 0.000
Th1 Th 0.000 0.000 0.500
Pd1 Pd 0.250 0.250 0.250
Ru1 Ru 0.250 0.250 0.750

[11]
# PBE CeTmPuMg, relaxed
# - ΔE_f (eV per atom) = 0.13
# - calculated volume (A^3/atom) = 27.4
# - calculated total energy (eV for the cell shown) = -103.18
# - N(E_F) (states/eV/cell) = 61.5
# - M_tot (Bohr magnetons per cell) = 31.4
data_CeTmPuMg
_cell_length_a 7.597
_cell_length_b 7.597
_cell_length_c 7.597
_cell_angle_alpha 90.00
_cell_angle_beta 90.00
_cell_angle_gamma 90.00
_space_group_name_H-M_alt 'F -4 3 m'
_space_group_IT_number 216
_space_group_name_Hall 'F -4 2 3'
loop_
_atom_site_label
_atom_site_type_symbol
_atom_site_fract_x
_atom_site_fract_y
_atom_site_fract_z
Ce1 Ce 0.000 0.000 0.000
Tm1 Tm 0.000 0.000 0.500
Pu1 Pu 0.250 0.250 0.750
Mg1 Mg 0.250 0.250 0.250

[12]
# PBE TlFe2Pd2, relaxed
# - ΔE_f (eV per atom) = 0.51
# - calculated volume (A^3/atom) = 15.5
# - calculated total energy (eV for the cell shown) = -54.29
# - N(E_F) (states/eV/cell) = 20.2
# - ΔE to the lowest computed polymorph (eV per atom) = 0.342
# - M_tot (Bohr magnetons per cell) = 0.0
data_TlFe2Pd2
_cell_length_a 6.614
_cell_length_b 6.614
_cell_length_c 3.547
_cell_angle_alpha 90.00
_cell_angle_beta 90.00
_cell_angle_gamma 90.00
_space_group_name_H-M_alt 'P 4/m b m'
_space_group_IT_number 127
_space_group_name_Hall '-P 4 2ab'
loop_
_atom_site_label
_atom_site_type_symbol
_atom_site_fract_x
_atom_site_fract_y
_atom_site_fract_z
Tl1 Tl 0.000 0.000 0.000
Fe1 Fe 0.112 0.388 0.000
Pd1 Pd 0.171 0.671 0.500

[13]
# PBE RbY2Cd2, relaxed
# - ΔE_f (eV per atom) = 0.00
# - calculated volume (A^3/atom) = 31.5
# - calculated total energy (eV for the cell shown) = -31.47
# - N(E_F) (states/eV/cell) = 12.5
# - ΔE to the lowest computed polymorph (eV per atom) = 0.000
# - M_tot (Bohr magnetons per cell) = 0.0
data_RbY2Cd2
_cell_length_a 9.423
_cell_length_b 9.423
_cell_length_c 3.546
_cell_angle_alpha 90.00
_cell_angle_beta 90.00
_cell_angle_gamma 90.00
_space_group_name_H-M_alt 'P 4/m b m'
_space_group_IT_number 127
_space_group_name_Hall '-P 4 2ab'
loop_
_atom_site_label
_atom_site_type_symbol
_atom_site_fract_x
_atom_site_fract_y
_atom_site_fract_z
Rb1 Rb 0.000 0.000 0.000
Y1 Y 0.127 0.373 0.000
Cd1 Cd 0.166 0.666 0.500

[14]
# PBE Nd6GaSi2I3, relaxed
# - formation energy (no corrections) (eV/atom) = -0.89
# - calculated volume (A^3/atom) = 31.5
# - calculated total energy (eV for the cell shown) = -115.52
# - N(E_F) (states/eV/cell) = 9.7
# - M_tot (Bohr magnetons per cell) = 0.0
data_Nd6GaSi2I3
_cell_length_a 7.552
_cell_length_b 13.084
_cell_length_c 8.049
_cell_angle_alpha 90.00
_cell_angle_beta 108.21
_cell_angle_gamma 90.00
_space_group_name_H-M_alt 'C 1 2/m 1'
_space_group_IT_number 12
loop_
_space_group_symop_operation_xyz
'x,y,z'
'-x,-y,-z'
'-x,y,-z'
'x,-y,z'
'x+1/2,y+1/2,z'
'-x+1/2,-y+1/2,-z'
'-x+1/2,y+1/2,-z'
'x+1/2,-y+1/2,z'
loop_
_atom_site_label
_atom_site_type_symbol
_atom_site_fract_x
_atom_site_fract_y
_atom_site_fract_z
Nd1 Nd 0.231 0.000 0.202
Nd2 Nd 0.235 0.332 0.202
Ga1 Ga 0.000 0.500 0.000
Si1 Si 0.000 0.166 0.000
I1 I 0.000 0.000 0.500
I2 I 0.000 0.333 0.500

[15]
# PBE SrPmMgHg, relaxed
# - ΔE_f (eV per atom) = -0.28
# - calculated volume (A^3/atom) = 31.0
# - calculated total energy (eV for the cell shown) = -9.47
# - N(E_F) (states/eV/cell) = 3.9
# - ΔE to the lowest computed polymorph (eV per atom) = 0.000
# - M_tot (Bohr magnetons per cell) = 0.2
data_SrPmMgHg
_cell_length_a 3.960
_cell_length_b 3.960
_cell_length_c 7.907
_cell_angle_alpha 90.00
_cell_angle_beta 90.00
_cell_angle_gamma 90.00
_space_group_name_H-M_alt 'P 4 m m'
_space_group_IT_number 99
loop_
_space_group_symop_operation_xyz
'x,y,z'
'-y,x,z'
'-x,-y,z'
'y,-x,z'
'-x,y,z'
'y,x,z'
'x,-y,z'
'-y,-x,z'
loop_
_atom_site_label
_atom_site_type_symbol
_atom_site_fract_x
_atom_site_fract_y
_atom_site_fract_z
Sr1 Sr 0.000 0.000 0.000
Pm1 Pm 0.000 0.000 0.480
Mg1 Mg 0.500 0.500 0.714
Hg1 Hg 0.500 0.500 0.269

[16]
# PBE Al2AgAu, relaxed
# - ΔE_f (eV per atom) = -0.20
# - calculated volume (A^3/atom) = 17.0
# - calculated total energy (eV for the cell shown) = -14.41
# - N(E_F) (states/eV/cell) = 1.1
# - M_tot (Bohr magnetons per cell) = 0.0
data_Al2AgAu
_cell_length_a 3.550
_cell_length_b 3.550
_cell_length_c 5.408
_cell_angle_alpha 90.00
_cell_angle_beta 90.00
_cell_angle_gamma 90.00
_space_group_name_H-M_alt 'P 4 m m'
_space_group_IT_number 99
loop_
_space_group_symop_operation_xyz
'x,y,z'
'-y,x,z'
'-x,-y,z'
'y,-x,z'
'-x,y,z'
'y,x,z'
'x,-y,z'
'-y,-x,z'
loop_
_atom_site_label
_atom_site_type_symbol
_atom_site_fract_x
_atom_site_fract_y
_atom_site_fract_z
Al1 Al 0.000 0.000 0.000
Al2 Al 0.500 0.500 0.295
Ag1 Ag 0.500 0.500 0.800
Au1 Au 0.000 0.000 0.488

[17]
# PBE Pm3DyY7, relaxed
# - ΔE_f (eV per atom) = 0.14
# - calculated volume (A^3/atom) = 33.5
# - calculated total energy (eV for the cell shown) = -62.55
# - N(E_F) (states/eV/cell) = 17.9
# - ΔE to the lowest computed polymorph (eV per atom) = 0.000
# - M_tot (Bohr magnetons per cell) = 0.0
data_Pm3DyY7
_cell_length_a 6.944
_cell_length_b 5.558
_cell_length_c 10.094
_cell_angle_alpha 90.00
_cell_angle_beta 108.95
_cell_angle_gamma 90.00
_space_group_name_H-M_alt 'P 1 2/m 1'
_space_group_IT_number 10
loop_
_space_group_symop_operation_xyz
'x,y,z'
'-x,-y,-z'
'-x,y,-z'
'x,-y,z'
loop_
_atom_site_label
_atom_site_type_symbol
_atom_site_fract_x
_atom_site_fract_y
_atom_site_fract_z
Pm1 Pm 0.000 0.000 0.000
Pm2 Pm 0.280 0.500 0.495
Dy1 Dy 0.500 0.000 0.000
Y1 Y 0.000 0.000 0.500
Y2 Y 0.150 0.500 0.787
Y3 Y 0.318 0.500 0.135
Y4 Y 0.425 0.000 0.329

[18]
# PBE RbGa3Mo, relaxed
# - ΔE_f (eV per atom) = 0.07
# - calculated volume (A^3/atom) = 25.8
# - calculated total energy (eV for the cell shown) = -20.52
# - N(E_F) (states/eV/cell) = 3.0
# - ΔE to the lowest computed polymorph (eV per atom) = 0.000
# - M_tot (Bohr magnetons per cell) = 0.0
data_RbGa3Mo
_cell_length_a 5.050
_cell_length_b 5.050
_cell_length_c 5.050
_cell_angle_alpha 90.00
_cell_angle_beta 90.00
_cell_angle_gamma 90.00
_space_group_name_H-M_alt 'P m -3 m'
_space_group_IT_number 221
_space_group_name_Hall '-P 4 2 3'
loop_
_atom_site_label
_atom_site_type_symbol
_atom_site_fract_x
_atom_site_fract_y
_atom_site_fract_z
Rb1 Rb 0.000 0.000 0.000
Ga1 Ga 0.000 0.500 0.500
Mo1 Mo 0.500 0.500 0.500